Computed, not measured: an optimized crystal structure of Ti3HAu at the PBE level of DFT.

Calculated values
Raw total energy (eV per formula unit): -23.7

Unit cell a=4.981 b=4.981 c=4.981 alpha=90.00 beta=90.00 gamma=90.00
Space group Pm-3m (No. 221)
Symmetry-distinct sites (fractional):
Ti  0.000  0.000  0.500 x3
H  0.500  0.500  0.500 x1
Au  0.000  0.000  0.000 x1



Computed, not measured: an optimized crystal structure of TiHAu at the PBE level of DFT.

Calculated values
Raw total energy (eV per formula unit): -15.4

Unit cell a=3.1270 b=3.1270 c=4.4450 alpha=90.00 beta=90.00 gamma=120.00
Space group P-6m2 (No. 187)
Symmetry-distinct sites (fractional):
Ti  0.0000  0.0000  0.0000 x1
H  0.3333  0.6667  0.0000 x1
Au  0.6667  0.3333  0.5000 x1



Polymorph energy (0 for the lowest one), respectively: 1.674, 0.131 eV per atom.